(1)
The following is a PBE calculation of crystalline Ba2AcGaS5 at its relaxed geometry, from Alexandria.

```
Ba2AcGaS5
1.0
2.1107 -9.3026 0.0000
2.1107 9.3026 0.0000
0.0000 0.0000 13.3567
Ba Ac Ga S
4 2 2 10
direct
0.1159 0.8841 0.5000 Ba
0.1253 0.8747 0.1565 Ba
0.8747 0.1253 0.6565 Ba
0.8841 0.1159 0.0000 Ba
0.1955 0.8045 0.8519 Ac
0.8045 0.1955 0.3519 Ac
0.4494 0.5506 0.2293 Ga
0.5506 0.4494 0.7293 Ga
0.0286 0.9714 0.8203 S
0.2966 0.7034 0.5016 S
0.3277 0.6723 0.1906 S
0.3491 0.6509 0.8303 S
0.4935 0.5065 0.5826 S
0.5065 0.4935 0.0826 S
0.6509 0.3491 0.3303 S
0.6723 0.3277 0.6906 S
0.7034 0.2966 0.0016 S
0.9714 0.0286 0.3203 S
```

Output
Its size of the total moment is 0.0 μB/cell. The uncorrected formation energy is -1.732 eV/atom. The value obtained for the calculated volume is 29.1 A^3/atom.


(2)
The following is a PBE calculation of crystalline Ba2AcGaTe5 at its relaxed geometry, from Alexandria.

```
Ba2AcGaTe5
1.0
2.3174 -10.4776 0.0000
2.3174 10.4776 0.0000
0.0000 0.0000 14.4917
Ba Ac Ga Te
4 2 2 10
direct
0.1189 0.8811 0.5000 Ba
0.1193 0.8807 0.8498 Ba
0.8811 0.1189 0.0000 Ba
0.8807 0.1193 0.3498 Ba
0.1995 0.8005 0.1937 Ac
0.8005 0.1995 0.6937 Ac
0.4429 0.5571 0.5834 Ga
0.5571 0.4429 0.0834 Ga
0.0343 0.9657 0.1871 Te
0.2980 0.7020 0.8524 Te
0.3192 0.6808 0.5272 Te
0.3536 0.6464 0.1755 Te
0.4978 0.5022 0.9249 Te
0.5022 0.4978 0.4249 Te
0.6464 0.3536 0.6755 Te
0.6808 0.3192 0.0272 Te
0.7020 0.2980 0.3524 Te
0.9657 0.0343 0.6871 Te
```

Output
Its size of the total moment is 0.0 μB/cell. The uncorrected formation energy is -1.328 eV/atom. The value obtained for the calculated volume is 39.1 A^3/atom.